Entry 1:
Density functional theory data (PBE) for crystalline LaW3 at its relaxed geometry.

```
data_LaW3
_chemical_formula_sum 'La1 W3'
_symmetry_space_group_name_H-M 'P 1'
_symmetry_Int_Tables_number 1
_symmetry_space_group_name_Hall 'P 1'
_cell_length_a 2.872
_cell_length_b 2.872
_cell_length_c 9.864
_cell_angle_alpha 90.00
_cell_angle_beta 90.00
_cell_angle_gamma 111.95
loop_
_atom_site_label
_atom_site_type_symbol
_atom_site_fract_x
_atom_site_fract_y
_atom_site_fract_z
La1 La 0.000 0.000 0.000
W1 W 0.000 0.000 0.500
W2 W 0.500 0.500 0.282
W3 W 0.500 0.500 0.718
```

Output
- energy relative to the lowest polymorph listed for this composition (kJ/mol of formula units) = 0

***

Entry 2:
Density functional theory data (PBE) for crystalline LaW2 at its relaxed geometry.

```
data_LaW2
_chemical_formula_sum 'La1 W2'
_symmetry_space_group_name_H-M 'P 1'
_symmetry_Int_Tables_number 1
_symmetry_space_group_name_Hall 'P 1'
_cell_length_a 4.637
_cell_length_b 4.637
_cell_length_c 3.281
_cell_angle_alpha 90.00
_cell_angle_beta 90.00
_cell_angle_gamma 120.00
loop_
_atom_site_label
_atom_site_type_symbol
_atom_site_fract_x
_atom_site_fract_y
_atom_site_fract_z
La1 La 0.000 0.000 0.000
W1 W 0.333 0.667 0.370
W2 W 0.667 0.333 0.630
```

***

Entry 3:
Density functional theory data (PBE) for crystalline LaW3 at its relaxed geometry.

```
data_LaW3
_chemical_formula_sum 'La2 W6'
_symmetry_space_group_name_H-M 'P 1'
_symmetry_Int_Tables_number 1
_symmetry_space_group_name_Hall 'P 1'
_cell_length_a 6.859
_cell_length_b 6.859
_cell_length_c 4.500
_cell_angle_alpha 90.00
_cell_angle_beta 90.00
_cell_angle_gamma 120.00
loop_
_atom_site_label
_atom_site_type_symbol
_atom_site_fract_x
_atom_site_fract_y
_atom_site_fract_z
La1 La 0.333 0.667 0.250
La2 La 0.667 0.333 0.750
W1 W 0.129 0.257 0.750
W2 W 0.129 0.871 0.750
W3 W 0.257 0.129 0.250
W4 W 0.743 0.871 0.750
W5 W 0.871 0.129 0.250
W6 W 0.871 0.743 0.250
```

Output
- energy relative to the lowest polymorph listed for this composition (kJ/mol of formula units) = 110

***

Entry 4:
Density functional theory data (PBE) for crystalline LaW2 at its relaxed geometry.

```
data_LaW2
_chemical_formula_sum 'La2 W4'
_symmetry_space_group_name_H-M 'P 1'
_symmetry_Int_Tables_number 1
_symmetry_space_group_name_Hall 'P 1'
_cell_length_a 5.793
_cell_length_b 5.793
_cell_length_c 5.793
_cell_angle_alpha 101.89
_cell_angle_beta 101.89
_cell_angle_gamma 126.01
loop_
_atom_site_label
_atom_site_type_symbol
_atom_site_fract_x
_atom_site_fract_y
_atom_site_fract_z
La1 La 0.250 0.250 0.000
La2 La 0.750 0.750 0.000
W1 W 0.112 0.612 0.725
W2 W 0.388 0.112 0.500
W3 W 0.612 0.888 0.500
W4 W 0.888 0.388 0.275
```

***

Number 1: DFT formation energy 476 meV per atom, energy -10.471 eV per atom. Number 2: DFT formation energy 844 meV per atom, energy -9.434 eV per atom. Number 3: DFT formation energy 761 meV per atom, energy -10.186 eV per atom. Number 4: DFT formation energy 1738 meV per atom, energy -8.540 eV per atom.